Material: CrPbF
Method: DFT, GGA+U
State: relaxed

Results
Excess energy over the best structure of this formula in the dataset (meV/atom): 58.6
N(E_F) (states/eV per atom): 1.1349
Calculated volume (A^3/atom): 22.384
Total energy (eV/f.u.): -15.64

Cell: 3.3904 3.3904 6.7459 Å, 90.00 90.00 120.00°
Last column: magnetic moment on the atom in μB.
Element x y z (fractional)
Pb (0.0000, 0.0000, 0.9268)  0.07
Cr (0.3333, 0.6667, 0.2972)  4.21
F (0.6667, 0.3333, 0.4462)  0.02